Entry 1:
This record from Alexandria describes a relaxed HgAs2Pt2 crystal. The functional is PBE-GGA.

Output
ΔH_f (0 K) = -0.001 eV per atom
polymorph energy (0 for the lowest one) = 0.115 eV per atom

CIF file:
```
data_HgAs2Pt2
_space_group_name_H-M_alt 'P 4/m b m'
_space_group_IT_number 127
_space_group_name_Hall '-P 4 2ab'
_cell_length_a 7.839
_cell_length_b 7.839
_cell_length_c 3.020
_cell_angle_alpha 90.00
_cell_angle_beta 90.00
_cell_angle_gamma 90.00
loop_
_atom_site_label
_atom_site_type_symbol
_atom_site_fract_x
_atom_site_fract_y
_atom_site_fract_z
Hg1 Hg 0.000 0.000 0.000
As1 As 0.136 0.364 0.500
Pt1 Pt 0.156 0.656 0.000
```

---

Entry 2:
This record from Alexandria describes a relaxed Rb2HgAsPt crystal. The functional is PBE-GGA.

Output
ΔH_f (0 K) = -0.300 eV per atom
polymorph energy (0 for the lowest one) = 0.000 eV per atom

CIF file:
```
data_Rb2HgAsPt
_space_group_name_H-M_alt 'P 4/m m m'
_space_group_IT_number 123
_space_group_name_Hall '-P 4 2'
_cell_length_a 6.663
_cell_length_b 6.663
_cell_length_c 4.622
_cell_angle_alpha 90.00
_cell_angle_beta 90.00
_cell_angle_gamma 90.00
loop_
_atom_site_label
_atom_site_type_symbol
_atom_site_fract_x
_atom_site_fract_y
_atom_site_fract_z
Rb1 Rb 0.000 0.500 0.000
Hg1 Hg 0.000 0.000 0.500
As1 As 0.500 0.500 0.500
Pt1 Pt 0.500 0.500 0.000
```

---

Entry 3:
This record from Alexandria describes a relaxed RbHg2AsPt crystal. The functional is PBE-GGA.

Output
ΔH_f (0 K) = -0.134 eV per atom

CIF file:
```
data_RbHg2AsPt
_space_group_name_H-M_alt 'P 4/m m m'
_space_group_IT_number 123
_space_group_name_Hall '-P 4 2'
_cell_length_a 5.389
_cell_length_b 5.389
_cell_length_c 5.022
_cell_angle_alpha 90.00
_cell_angle_beta 90.00
_cell_angle_gamma 90.00
loop_
_atom_site_label
_atom_site_type_symbol
_atom_site_fract_x
_atom_site_fract_y
_atom_site_fract_z
Rb1 Rb 0.000 0.000 0.000
Hg1 Hg 0.000 0.500 0.500
As1 As 0.500 0.500 0.000
Pt1 Pt 0.500 0.500 0.500
```

---

Entry 4:
This record from Alexandria describes a relaxed HgAsPt2Rh crystal. The functional is PBE-GGA.

Output
ΔH_f (0 K) = 1.661 eV per atom

CIF file:
```
data_HgAsPt2Rh
_space_group_name_H-M_alt 'P 4/m m m'
_space_group_IT_number 123
_space_group_name_Hall '-P 4 2'
_cell_length_a 5.025
_cell_length_b 5.025
_cell_length_c 4.857
_cell_angle_alpha 90.00
_cell_angle_beta 90.00
_cell_angle_gamma 90.00
loop_
_atom_site_label
_atom_site_type_symbol
_atom_site_fract_x
_atom_site_fract_y
_atom_site_fract_z
Hg1 Hg 0.000 0.000 0.000
As1 As 0.000 0.000 0.500
Pt1 Pt 0.000 0.500 0.000
Rh1 Rh 0.500 0.500 0.500
```

---

Entry 5:
This record from Alexandria describes a relaxed HgAsRu2Pt crystal. The functional is PBE-GGA.

Output
ΔH_f (0 K) = 2.062 eV per atom

CIF file:
```
data_HgAsRu2Pt
_space_group_name_H-M_alt 'P 4/m m m'
_space_group_IT_number 123
_space_group_name_Hall '-P 4 2'
_cell_length_a 4.987
_cell_length_b 4.987
_cell_length_c 4.980
_cell_angle_alpha 90.00
_cell_angle_beta 90.00
_cell_angle_gamma 90.00
loop_
_atom_site_label
_atom_site_type_symbol
_atom_site_fract_x
_atom_site_fract_y
_atom_site_fract_z
Hg1 Hg 0.000 0.000 0.000
As1 As 0.500 0.500 0.500
Ru1 Ru 0.000 0.500 0.000
Pt1 Pt 0.000 0.000 0.500
```

---

Entry 6:
This record from Alexandria describes a relaxed Hg2AsPtSe crystal. The functional is PBE-GGA.

Output
formation energy (no corrections) = 0.849 eV per atom

CIF file:
```
data_Hg2AsPtSe
_space_group_name_H-M_alt 'P 4/m m m'
_space_group_IT_number 123
_space_group_name_Hall '-P 4 2'
_cell_length_a 5.112
_cell_length_b 5.112
_cell_length_c 5.109
_cell_angle_alpha 90.00
_cell_angle_beta 90.00
_cell_angle_gamma 90.00
loop_
_atom_site_label
_atom_site_type_symbol
_atom_site_fract_x
_atom_site_fract_y
_atom_site_fract_z
Hg1 Hg 0.000 0.500 0.000
As1 As 0.000 0.000 0.000
Pt1 Pt 0.500 0.500 0.500
Se1 Se 0.000 0.000 0.500
```

---

Entry 7:
This record from Alexandria describes a relaxed Sr2HgAs3Pt4 crystal. The functional is PBE-GGA.

Output
ΔH_f (0 K) = -0.669 eV per atom

CIF file:
```
data_Sr2HgAs3Pt4
_space_group_name_H-M_alt 'P -4 m 2'
_space_group_IT_number 115
_cell_length_a 4.537
_cell_length_b 4.537
_cell_length_c 10.364
_cell_angle_alpha 90.00
_cell_angle_beta 90.00
_cell_angle_gamma 90.00
loop_
_space_group_symop_operation_xyz
'x,y,z'
'y,-x,-z'
'-x,-y,z'
'-y,x,-z'
'-x,y,z'
'-y,-x,-z'
'x,-y,z'
'y,x,-z'
loop_
_atom_site_label
_atom_site_type_symbol
_atom_site_fract_x
_atom_site_fract_y
_atom_site_fract_z
Sr1 Sr 0.000 0.500 0.246
Hg1 Hg 0.000 0.000 0.500
As1 As 0.000 0.500 0.881
As2 As 0.500 0.500 0.500
Pt1 Pt 0.000 0.000 0.000
Pt2 Pt 0.000 0.500 0.645
Pt3 Pt 0.500 0.500 0.000
```

---

Entry 8:
This record from Alexandria describes a relaxed Tl2HgAsPt crystal. The functional is PBE-GGA.

Output
ΔH_f (0 K) = 0.938 eV per atom

CIF file:
```
data_Tl2HgAsPt
_space_group_name_H-M_alt 'P 4/m m m'
_space_group_IT_number 123
_space_group_name_Hall '-P 4 2'
_cell_length_a 5.605
_cell_length_b 5.605
_cell_length_c 5.120
_cell_angle_alpha 90.00
_cell_angle_beta 90.00
_cell_angle_gamma 90.00
loop_
_atom_site_label
_atom_site_type_symbol
_atom_site_fract_x
_atom_site_fract_y
_atom_site_fract_z
Tl1 Tl 0.000 0.500 0.000
Hg1 Hg 0.000 0.000 0.000
As1 As 0.000 0.000 0.500
Pt1 Pt 0.500 0.500 0.500
```

---

Entry 9:
This record from Alexandria describes a relaxed YHgAs2Pt crystal. The functional is PBE-GGA.

Output
ΔH_f (0 K) = 0.002 eV per atom

CIF file:
```
data_YHgAs2Pt
_space_group_name_H-M_alt 'P 4/m m m'
_space_group_IT_number 123
_space_group_name_Hall '-P 4 2'
_cell_length_a 4.974
_cell_length_b 4.974
_cell_length_c 5.097
_cell_angle_alpha 90.00
_cell_angle_beta 90.00
_cell_angle_gamma 90.00
loop_
_atom_site_label
_atom_site_type_symbol
_atom_site_fract_x
_atom_site_fract_y
_atom_site_fract_z
Y1 Y 0.000 0.000 0.000
Hg1 Hg 0.500 0.500 0.000
As1 As 0.000 0.500 0.500
Pt1 Pt 0.500 0.500 0.500
```

---

Entry 10:
This record from Alexandria describes a relaxed Zr2HgAsPt crystal. The functional is PBE-GGA.

Output
ΔH_f (0 K) = 0.231 eV per atom

CIF file:
```
data_Zr2HgAsPt
_space_group_name_H-M_alt 'P 4/m m m'
_space_group_IT_number 123
_space_group_name_Hall '-P 4 2'
_cell_length_a 5.219
_cell_length_b 5.219
_cell_length_c 4.627
_cell_angle_alpha 90.00
_cell_angle_beta 90.00
_cell_angle_gamma 90.00
loop_
_atom_site_label
_atom_site_type_symbol
_atom_site_fract_x
_atom_site_fract_y
_atom_site_fract_z
Zr1 Zr 0.000 0.500 0.000
Hg1 Hg 0.000 0.000 0.500
As1 As 0.500 0.500 0.500
Pt1 Pt 0.500 0.500 0.000
```

---

Entry 11:
This record from Alexandria describes a relaxed PuHgAs2 crystal. The functional is PBE-GGA.

Output
ΔH_f (0 K) = -0.428 eV per atom
polymorph energy (0 for the lowest one) = 0.000 eV per atom

CIF file:
```
data_PuHgAs2
_space_group_name_H-M_alt 'P 4/m m m'
_space_group_IT_number 123
_space_group_name_Hall '-P 4 2'
_cell_length_a 4.639
_cell_length_b 4.639
_cell_length_c 3.932
_cell_angle_alpha 90.00
_cell_angle_beta 90.00
_cell_angle_gamma 90.00
loop_
_atom_site_label
_atom_site_type_symbol
_atom_site_fract_x
_atom_site_fract_y
_atom_site_fract_z
Pu1 Pu 0.000 0.000 0.000
Hg1 Hg 0.500 0.500 0.000
As1 As 0.000 0.500 0.500
```

---

Entry 12:
This record from Alexandria describes a relaxed Pu2HgAs crystal. The functional is PBE-GGA.

Output
ΔH_f (0 K) = -0.436 eV per atom
polymorph energy (0 for the lowest one) = 0.101 eV per atom

CIF file:
```
data_Pu2HgAs
_space_group_name_H-M_alt 'F m -3 m'
_space_group_IT_number 225
_space_group_name_Hall '-F 4 2 3'
_cell_length_a 7.317
_cell_length_b 7.317
_cell_length_c 7.317
_cell_angle_alpha 90.00
_cell_angle_beta 90.00
_cell_angle_gamma 90.00
loop_
_atom_site_label
_atom_site_type_symbol
_atom_site_fract_x
_atom_site_fract_y
_atom_site_fract_z
Pu1 Pu 0.250 0.250 0.250
Hg1 Hg 0.000 0.000 0.000
As1 As 0.000 0.000 0.500
```

---

Entry 13:
This record from Alexandria describes a relaxed Pu2HgAs crystal. The functional is PBE-GGA.

Output
ΔH_f (0 K) = -0.412 eV per atom
polymorph energy (0 for the lowest one) = 0.125 eV per atom

CIF file:
```
data_Pu2HgAs
_space_group_name_H-M_alt 'R -3 m'
_space_group_IT_number 166
_space_group_name_Hall '-R 3 2"'
_cell_length_a 3.9649
_cell_length_b 3.9649
_cell_length_c 24.6590
_cell_angle_alpha 90.00
_cell_angle_beta 90.00
_cell_angle_gamma 120.00
loop_
_atom_site_label
_atom_site_type_symbol
_atom_site_fract_x
_atom_site_fract_y
_atom_site_fract_z
Pu1 Pu 0.0000 0.0000 0.2380
Hg1 Hg 0.0000 0.0000 0.0000
As1 As 0.0000 0.0000 0.5000
```

---

Entry 14:
This record from Alexandria describes a relaxed Pu2HgAs crystal. The functional is PBE-GGA.

Output
ΔH_f (0 K) = -0.537 eV per atom
polymorph energy (0 for the lowest one) = 0.000 eV per atom

CIF file:
```
data_Pu2HgAs
_space_group_name_H-M_alt 'P 4/m m m'
_space_group_IT_number 123
_space_group_name_Hall '-P 4 2'
_cell_length_a 3.660
_cell_length_b 3.660
_cell_length_c 7.275
_cell_angle_alpha 90.00
_cell_angle_beta 90.00
_cell_angle_gamma 90.00
loop_
_atom_site_label
_atom_site_type_symbol
_atom_site_fract_x
_atom_site_fract_y
_atom_site_fract_z
Pu1 Pu 0.000 0.000 0.216
Hg1 Hg 0.500 0.500 0.500
As1 As 0.500 0.500 0.000
```

---

Entry 15:
This record from Alexandria describes a relaxed PuHgAs2 crystal. The functional is PBE-GGA.

Output
ΔH_f (0 K) = -0.227 eV per atom
polymorph energy (0 for the lowest one) = 0.201 eV per atom

CIF file:
```
data_PuHgAs2
_space_group_name_H-M_alt 'R -3 m'
_space_group_IT_number 166
_space_group_name_Hall '-R 3 2"'
_cell_length_a 4.4041
_cell_length_b 4.4041
_cell_length_c 23.2526
_cell_angle_alpha 90.00
_cell_angle_beta 90.00
_cell_angle_gamma 120.00
loop_
_atom_site_label
_atom_site_type_symbol
_atom_site_fract_x
_atom_site_fract_y
_atom_site_fract_z
Pu1 Pu 0.0000 0.0000 0.0000
Hg1 Hg 0.0000 0.0000 0.5000
As1 As 0.0000 0.0000 0.3912
```

---

Entry 16:
This record from Alexandria describes a relaxed Rb4Hg5As2 crystal. The functional is PBE-GGA.

Output
ΔH_f (0 K) = -0.263 eV per atom

CIF file:
```
data_Rb4Hg5As2
_space_group_name_H-M_alt 'P 1 2/m 1'
_space_group_IT_number 10
_cell_length_a 8.241
_cell_length_b 5.342
_cell_length_c 9.421
_cell_angle_alpha 90.00
_cell_angle_beta 93.05
_cell_angle_gamma 90.00
loop_
_space_group_symop_operation_xyz
'x,y,z'
'-x,-y,-z'
'-x,y,-z'
'x,-y,z'
loop_
_atom_site_label
_atom_site_type_symbol
_atom_site_fract_x
_atom_site_fract_y
_atom_site_fract_z
Rb1 Rb 0.212 0.000 0.355
Rb2 Rb 0.233 0.000 0.906
Hg1 Hg 0.145 0.500 0.632
Hg2 Hg 0.428 0.500 0.151
Hg3 Hg 0.500 0.500 0.500
As1 As 0.061 0.500 0.121
```

---

Entry 17:
This record from Alexandria describes a relaxed RbHg3As crystal. The functional is PBE-GGA.

Output
ΔH_f (0 K) = -0.169 eV per atom
polymorph energy (0 for the lowest one) = 0.000 eV per atom

CIF file:
```
data_RbHg3As
_space_group_name_H-M_alt 'C m c m'
_space_group_IT_number 63
_space_group_name_Hall '-C 2c 2'
_cell_length_a 7.528
_cell_length_b 11.347
_cell_length_c 7.061
_cell_angle_alpha 90.00
_cell_angle_beta 90.00
_cell_angle_gamma 90.00
loop_
_atom_site_label
_atom_site_type_symbol
_atom_site_fract_x
_atom_site_fract_y
_atom_site_fract_z
Rb1 Rb 0.000 0.235 0.250
Hg1 Hg 0.000 0.121 0.750
Hg2 Hg 0.226 0.500 0.000
As1 As 0.000 0.363 0.750
```

---

Entry 18:
This record from Alexandria describes a relaxed Rb2Hg4As crystal. The functional is PBE-GGA.

Output
ΔH_f (0 K) = -0.136 eV per atom

CIF file:
```
data_Rb2Hg4As
_space_group_name_H-M_alt 'I 4/m m m'
_space_group_IT_number 139
_space_group_name_Hall '-I 4 2'
_cell_length_a 5.532
_cell_length_b 5.532
_cell_length_c 18.751
_cell_angle_alpha 90.00
_cell_angle_beta 90.00
_cell_angle_gamma 90.00
loop_
_atom_site_label
_atom_site_type_symbol
_atom_site_fract_x
_atom_site_fract_y
_atom_site_fract_z
Rb1 Rb 0.000 0.000 0.139
Hg1 Hg 0.000 0.000 0.335
Hg2 Hg 0.000 0.500 0.000
As1 As 0.000 0.000 0.500
```

---

Entry 19:
This record from Alexandria describes a relaxed Rb3Hg5As2 crystal. The functional is PBE-GGA.

Output
ΔH_f (0 K) = -0.221 eV per atom

CIF file:
```
data_Rb3Hg5As2
_space_group_name_H-M_alt 'I b a m'
_space_group_IT_number 72
_space_group_name_Hall '-I 2 2c'
_cell_length_a 11.398
_cell_length_b 16.266
_cell_length_c 7.424
_cell_angle_alpha 90.00
_cell_angle_beta 90.00
_cell_angle_gamma 90.00
loop_
_atom_site_label
_atom_site_type_symbol
_atom_site_fract_x
_atom_site_fract_y
_atom_site_fract_z
Rb1 Rb 0.000 0.000 0.250
Rb2 Rb 0.220 0.360 0.000
Hg1 Hg 0.000 0.223 0.250
Hg2 Hg 0.000 0.500 0.250
Hg3 Hg 0.110 0.358 0.500
As1 As 0.143 0.152 0.000
```

---

Entry 20:
This record from Alexandria describes a relaxed Rb2Hg2As crystal. The functional is PBE-GGA.

Output
ΔH_f (0 K) = -0.163 eV per atom
polymorph energy (0 for the lowest one) = 0.142 eV per atom

CIF file:
```
data_Rb2Hg2As
_space_group_name_H-M_alt 'P 4/m b m'
_space_group_IT_number 127
_space_group_name_Hall '-P 4 2ab'
_cell_length_a 7.913
_cell_length_b 7.913
_cell_length_c 5.561
_cell_angle_alpha 90.00
_cell_angle_beta 90.00
_cell_angle_gamma 90.00
loop_
_atom_site_label
_atom_site_type_symbol
_atom_site_fract_x
_atom_site_fract_y
_atom_site_fract_z
Rb1 Rb 0.179 0.321 0.000
Hg1 Hg 0.139 0.639 0.500
As1 As 0.000 0.000 0.500
```

---

Calculated values (Å³/atom) of calculated volume for the records, taken in order: 18.56 41.04 29.17 24.53 24.78 26.70 21.34 32.17 25.22 25.21 21.15 24.48 27.98 24.36 32.55 37.65 30.16 40.99 34.41 34.81.
Calculated values (eV/atom) of total DFT energy (no corrections) for the records, taken in order: -4.338 -2.885 -2.586 -3.215 -3.846 -2.107 -4.847 -2.207 -4.419 -5.387 -6.411 -8.840 -8.816 -8.941 -6.210 -1.598 -1.474 -1.249 -1.592 -1.601.